Entry 1:
The following is a DFT calculation (PBE) of a relaxed structure of NdEr3Hg2.

Results
* density of states at the Fermi level: 10.7 states/eV/cell
* ΔE to the lowest computed polymorph: 0.094 eV per atom
* total moment: 0.09 μB per cell
* space-group type: No. 12

Cell lengths 8.4413, 8.4413, 8.8625 Å; angles 113.95, 113.95, 36.80 degrees
Closest atoms and distances in Å follow each position.
Element x y z (fractional)
Nd 0.1325 0.1325 0.1872  5 Hg 3.27-3.46, 3 Er 3.50-3.56
Nd 0.8675 0.8675 0.8128  5 Hg 3.27-3.46, 3 Er 3.50-3.56
Er 0.0641 0.0641 0.7238  3 Hg 3.15-3.22, 2 Er 3.49
Er 0.3065 0.3065 0.0019  2 Hg 2.95-3.14, 2 Er 3.21
Er 0.3817 0.3817 0.4720  4 Hg 2.90-3.22
Er 0.6183 0.6183 0.5280  4 Hg 2.90-3.22
Er 0.6935 0.6935 0.9981  2 Hg 2.95-3.14, 2 Er 3.21
Er 0.9359 0.9359 0.2762  3 Hg 3.15-3.22, 2 Er 3.49
Hg 0.2256 0.2256 0.6102  5 Er 3.08-3.22, 1 Nd 3.39
Hg 0.4902 0.4902 0.8305  1 Hg 2.88, 4 Er 2.90-3.22
Hg 0.5098 0.5098 0.1695  1 Hg 2.88, 4 Er 2.90-3.22
Hg 0.7744 0.7744 0.3898  5 Er 3.08-3.22, 1 Nd 3.39

Entry 2:
The following is a DFT calculation (PBE) of a relaxed structure of NdEr3Hg4.

Results
* density of states at the Fermi level: 14.3 states/eV/cell
* ΔE to the lowest computed polymorph: 0.187 eV per atom
* total moment: 0.01 μB per cell
* space-group type: No. 12

Cell lengths 14.5353, 5.2709, 5.9691 Å; angles 90.00, 109.22, 90.00 degrees
Closest atoms and distances in Å follow each position.
Element x y z (fractional)
Nd 0.0000 0.0000 0.0000  4 Hg 3.12-3.47
Nd 0.5000 0.5000 0.0000  4 Hg 3.12-3.47
Er 0.0000 0.5000 0.5000  4 Hg 3.07
Er 0.1725 0.5000 0.0812  5 Hg 3.02-3.31
Er 0.3275 0.0000 0.9188  5 Hg 3.02-3.31
Er 0.5000 0.0000 0.5000  4 Hg 3.07
Er 0.6725 0.0000 0.0812  5 Hg 3.02-3.31
Er 0.8275 0.5000 0.9188  5 Hg 3.02-3.31
Hg 0.1128 0.0000 0.6373  3 Er 3.02-3.07, 4 Hg 3.07-3.31, 1 Nd 3.12
Hg 0.2461 0.0000 0.3318  4 Er 3.05-3.31, 5 Hg 3.07-3.31
Hg 0.2539 0.5000 0.6682  4 Er 3.05-3.31, 5 Hg 3.07-3.31
Hg 0.3872 0.5000 0.3627  3 Er 3.02-3.07, 4 Hg 3.07-3.31, 1 Nd 3.12
Hg 0.6128 0.5000 0.6373  3 Er 3.02-3.07, 4 Hg 3.07-3.31, 1 Nd 3.12
Hg 0.7461 0.5000 0.3318  4 Er 3.05-3.31, 5 Hg 3.07-3.31
Hg 0.7539 0.0000 0.6682  4 Er 3.05-3.31, 5 Hg 3.07-3.31
Hg 0.8872 0.0000 0.3627  3 Er 3.02-3.07, 4 Hg 3.07-3.31, 1 Nd 3.12

Entry 3:
The following is a DFT calculation (PBE) of a relaxed structure of Nd2ErHg.

Results
* density of states at the Fermi level: 4.9 states/eV/cell
* ΔE to the lowest computed polymorph: 0.019 eV per atom
* total moment: 0.00 μB per cell
* space-group type: No. 123

Cell lengths 3.7140, 3.7140, 8.9269 Å; angles 90.00, 90.00, 90.00 degrees
Closest atoms and distances in Å follow each position.
Element x y z (fractional)
Nd 0.0000 0.0000 0.2265  4 Hg 3.31, 4 Er 3.59
Nd 0.0000 0.0000 0.7735  4 Hg 3.31, 4 Er 3.59
Er 0.5000 0.5000 0.5000  8 Nd 3.59, 4 Er 3.71
Hg 0.5000 0.5000 0.0000  8 Nd 3.31

Entry 4:
The following is a DFT calculation (PBE) of a relaxed structure of Nd3Er4Hg.

Results
* density of states at the Fermi level: 9.3 states/eV/cell
* total moment: 0.00 μB per cell
* space-group type: No. 123
* final energy: -4.217 eV/atom

Cell lengths 3.6036, 3.6036, 19.0662 Å; angles 90.00, 90.00, 90.00 degrees
Closest atoms and distances in Å follow each position.
Element x y z (fractional)
Nd 0.0000 0.0000 0.0000  8 Er 3.59, 4 Nd 3.60
Nd 0.0000 0.0000 0.2652  8 Er 3.59, 4 Nd 3.60
Nd 0.0000 0.0000 0.7348  8 Er 3.59, 4 Nd 3.60
Er 0.5000 0.5000 0.1328  8 Nd 3.59, 4 Er 3.60
Er 0.5000 0.5000 0.3978  4 Hg 3.21, 4 Nd 3.59
Er 0.5000 0.5000 0.6022  4 Hg 3.21, 4 Nd 3.59
Er 0.5000 0.5000 0.8672  8 Nd 3.59, 4 Er 3.60
Hg 0.0000 0.0000 0.5000  8 Er 3.21

Copy entry 4 word for word.
The following is a DFT calculation (PBE) of a relaxed structure of Nd3Er4Hg.

Results
* density of states at the Fermi level: 9.3 states/eV/cell
* total moment: 0.00 μB per cell
* space-group type: No. 123
* final energy: -4.217 eV/atom

Cell lengths 3.6036, 3.6036, 19.0662 Å; angles 90.00, 90.00, 90.00 degrees
Closest atoms and distances in Å follow each position.
Element x y z (fractional)
Nd 0.0000 0.0000 0.0000  8 Er 3.59, 4 Nd 3.60
Nd 0.0000 0.0000 0.2652  8 Er 3.59, 4 Nd 3.60
Nd 0.0000 0.0000 0.7348  8 Er 3.59, 4 Nd 3.60
Er 0.5000 0.5000 0.1328  8 Nd 3.59, 4 Er 3.60
Er 0.5000 0.5000 0.3978  4 Hg 3.21, 4 Nd 3.59
Er 0.5000 0.5000 0.6022  4 Hg 3.21, 4 Nd 3.59
Er 0.5000 0.5000 0.8672  8 Nd 3.59, 4 Er 3.60
Hg 0.0000 0.0000 0.5000  8 Er 3.21